(1)
Here is a relaxed PrNd3Er3Te8 crystal from Alexandria via LeMat-Bulk. Energies are from PBE.

Cell and atoms, written as extended XYZ:
```
15
Lattice="4.3957 2.5378 7.1948 -4.3957 2.5378 7.1948 0.0000 -5.0757 7.1948" Properties=species:S:1:pos:R:3 pbc="T T T"
Pr 0.0000 0.0000 0.0000
Nd -4.3957 0.0000 10.7922
Nd -2.1978 1.2689 3.5974
Nd 2.1978 1.2689 3.5974
Er -2.1978 -1.2689 7.1948
Er -2.1978 1.2689 14.3896
Er 0.0000 2.5378 7.1948
Te 0.0000 0.0000 5.4981
Te 0.0000 -2.3847 8.9983
Te -2.0652 1.1923 8.9983
Te -2.0652 -1.1923 12.5861
Te 2.0652 1.1923 8.9983
Te 2.0652 -1.1923 12.5861
Te 0.0000 2.3847 12.5861
Te 0.0000 0.0000 16.0863
```

(2)
Here is a relaxed PrNdEr2Te6 crystal from Alexandria via LeMat-Bulk. Energies are from PBE.

Cell and atoms, written as extended XYZ:
```
10
Lattice="3.9157 2.2607 7.0402 -3.9157 2.2607 7.0402 0.0000 -4.5214 7.0402" Properties=species:S:1:pos:R:3 pbc="T T T"
Pr 0.0000 0.0000 0.0000
Nd 0.0000 0.0000 10.5330
Er 0.0000 0.0000 6.5115
Er 0.0000 0.0000 17.0888
Te -2.4124 -0.1715 8.4187
Te -1.4897 -2.4048 11.9408
Te 1.3547 -2.0034 8.4187
Te -1.3377 2.4925 11.9408
Te 1.0576 2.1749 8.4187
Te 2.8274 -0.0877 11.9408
```

(3)
Here is a relaxed Pr2NdEr3Te6 crystal from Alexandria via LeMat-Bulk. Energies are from PBE.

Cell and atoms, written as extended XYZ:
```
12
Lattice="9.7334 -2.1732 0.0000 9.7334 2.1732 0.0000 -2.4478 0.0000 8.6618" Properties=species:S:1:pos:R:3 pbc="T T T"
Pr 2.4318 0.0000 2.8870
Pr 14.5872 0.0000 5.7749
Nd 9.7334 0.0000 0.0000
Er 1.2212 0.0000 7.2179
Er 8.5095 0.0000 4.3309
Er 15.7979 0.0000 1.4439
Te -1.7312 0.0000 6.4242
Te 4.1585 0.0000 8.0343
Te 5.5727 0.0000 3.5249
Te 11.4463 0.0000 5.1369
Te 12.8606 0.0000 0.6275
Te 18.7502 0.0000 2.2377
```

(4)
Here is a relaxed Pr2NdErTe5 crystal from Alexandria via LeMat-Bulk. Energies are from PBE.

Cell and atoms, written as extended XYZ:
```
9
Lattice="5.5021 0.0000 0.0000 0.0000 5.5021 0.0000 0.0000 0.0000 11.7899" Properties=species:S:1:pos:R:3 pbc="T T T"
Pr 0.0000 0.0000 1.9157
Pr 0.0000 0.0000 9.8741
Nd 2.7510 2.7510 5.8949
Er 2.7510 2.7510 0.0000
Te 0.0000 0.0000 5.8949
Te 0.0000 2.7510 0.0000
Te 2.7510 0.0000 0.0000
Te 2.7510 2.7510 2.9411
Te 2.7510 2.7510 8.8488
```

(5)
8
Lattice="5.1222 0.0000 0.0000 0.0000 5.1328 0.0000 -0.0081 0.0000 9.9385" Properties=species:S:1:pos:R:3 comment="Pr2NdEr4Th, optimized geometry, DFT PBE" formation_enthalpy_0k_ev_per_fu=0.2 pbc="T T T"
Pr 0.0000 0.0000 0.0000
Pr 2.5570 2.5664 4.9693
Nd -0.0041 0.0000 4.9693
Er 5.1195 2.5664 2.4353
Er -0.0054 2.5664 7.5032
Er 2.5599 0.0000 2.4343
Er 2.5541 0.0000 7.5042
Th 2.5611 2.5664 0.0000

(6)
8
Lattice="6.1304 0.0000 0.0000 0.0000 6.1437 0.0000 -0.0178 0.0000 7.3537" Properties=species:S:1:pos:R:3 comment="Pr4Nd2ErTh, optimized geometry, DFT PBE" formation_enthalpy_0k_ev_per_fu=1.1 pbc="T T T"
Pr -0.0036 0.0000 1.8027
Pr 6.1162 0.0000 5.5510
Pr 3.0575 3.0719 1.7978
Pr 3.0552 3.0719 5.5559
Nd 0.0000 3.0719 0.0000
Nd 3.0563 0.0000 3.6768
Er -0.0089 3.0719 3.6768
Th 3.0652 0.0000 0.0000

(7)
20
Lattice="4.7214 -7.5665 0.0000 4.7214 7.5665 0.0000 -1.4893 0.0000 9.7846" Properties=species:S:1:pos:R:3 comment="Pr6NdEr2Th, optimized geometry, DFT PBE" formation_enthalpy_0k_ev_per_fu=1.4 pbc="T T T"
Pr 2.5104 4.2604 1.8136
Pr 3.2477 4.9482 5.4580
Pr 3.9611 4.9482 9.2189
Pr 3.2583 1.5855 3.7205
Pr 6.1877 4.2604 3.0787
Pr 5.4398 1.5855 1.1718
Pr 2.5137 -1.5855 8.6128
Pr 1.7658 -4.2604 6.7059
Pr 4.6951 -1.5855 6.0640
Pr 3.9923 -4.9482 0.5657
Pr 4.7058 -4.9482 4.3266
Pr 5.4431 -4.2604 7.9710
Nd 3.6044 1.4460 7.3384
Nd 4.3491 -1.4460 2.4461
Er 2.1903 0.6734 0.5010
Er 1.4456 -0.6734 5.3933
Er 6.5078 0.6734 4.3913
Er 5.7632 -0.6734 9.2835
Th 4.3491 7.1067 2.4461
Th 3.6044 -7.1067 7.3384

(8)
18
Lattice="2.8683 -10.3335 0.0000 2.8683 10.3335 0.0000 0.0000 0.0000 10.6607" Properties=species:S:1:pos:R:3 comment="Pr5NdEr2Th, optimized geometry, DFT PBE" formation_enthalpy_0k_ev_per_fu=1.4 pbc="T T T"
Pr 2.8683 10.0321 5.3303
Pr 2.8683 4.6144 2.2044
Pr 2.8683 4.3004 8.7124
Pr 2.8683 2.3694 5.2711
Pr 2.8683 0.4344 8.2898
Pr 2.8683 -0.4344 2.9594
Pr 2.8683 -2.3694 10.6014
Pr 2.8683 -4.3004 3.3820
Pr 2.8683 -4.6144 7.5348
Pr 2.8683 -10.0321 0.0000
Nd 2.8683 1.8809 0.7437
Nd 2.8683 -1.8809 6.0741
Er 2.8683 8.0016 8.3457
Er 2.8683 7.9306 2.1979
Er 2.8683 -7.9306 7.5282
Er 2.8683 -8.0016 3.0154
Th 2.8683 6.2343 5.4179
Th 2.8683 -6.2343 0.0875

(9)
10
Lattice="3.3621 -7.8833 0.0000 3.3621 7.8833 0.0000 0.0000 0.0000 6.7365" Properties=species:S:1:pos:R:3 comment="PrNdErTh2, optimized geometry, DFT PBE" formation_enthalpy_0k_ev_per_fu=1.8 pbc="T T T"
Pr 3.3621 4.0662 5.0524
Pr 3.3621 -4.0662 1.6841
Nd 3.3621 2.3892 1.6841
Nd 3.3621 -2.3892 5.0524
Er 3.3621 5.5104 1.6841
Er 3.3621 -5.5104 5.0524
Th 1.6614 0.0000 0.0000
Th 1.6614 0.0000 3.3682
Th 5.0627 0.0000 0.0000
Th 5.0627 0.0000 3.3682

(10)
12
Lattice="3.1176 -5.3981 0.0000 3.1176 5.3981 0.0000 -2.0866 0.0000 11.5546" Properties=species:S:1:pos:R:3 comment="Pr3NdEr6Th2, optimized geometry, DFT PBE" formation_enthalpy_0k_ev_per_fu=0.3 pbc="T T T"
Pr 0.0000 0.0000 0.0000
Pr 3.1176 1.7941 0.0000
Pr 3.1176 -1.7941 0.0000
Nd 2.0742 0.0000 5.7773
Er 1.0200 1.8268 2.9496
Er -0.0364 0.0000 8.6085
Er 1.0200 -1.8268 2.9496
Er 3.1285 1.8268 8.6051
Er 4.1848 0.0000 2.9461
Er 3.1285 -1.8268 8.6051
Th 2.0742 3.6003 5.7773
Th 2.0742 -3.6003 5.7773

(11)
18
Lattice="2.7458 -11.0398 0.0000 2.7458 11.0398 0.0000 0.0000 0.0000 10.5656" Properties=species:S:1:pos:R:3 comment="Pr2Nd5ErTh, optimized geometry, DFT PBE" formation_enthalpy_0k_ev_per_fu=1.2 pbc="T T T"
Pr 2.7458 8.5371 5.3065
Pr 2.7458 8.5371 10.5419
Pr 2.7458 -8.5371 0.0237
Pr 2.7458 -8.5371 5.2591
Nd 2.7458 11.0336 2.6414
Nd 2.7458 -11.0336 7.9242
Nd 2.7458 4.9219 5.8978
Nd 2.7458 4.9219 9.9506
Nd 2.7458 2.8190 2.6414
Nd 2.7458 0.0000 0.0000
Nd 2.7458 0.0000 5.2828
Nd 2.7458 -2.8190 7.9242
Nd 2.7458 -4.9219 0.6150
Nd 2.7458 -4.9219 4.6678
Er 2.7458 2.2698 7.9242
Er 2.7458 -2.2698 2.6414
Th 2.7458 6.3930 2.6414
Th 2.7458 -6.3930 7.9242

(12)
10
Lattice="8.6874 0.0000 0.0000 0.0000 6.4770 0.0000 -0.8808 0.0000 6.3694" Properties=species:S:1:pos:R:3 comment="PrNd2ErTh, optimized geometry, DFT PBE" formation_enthalpy_0k_ev_per_fu=1.6 pbc="T T T"
Pr 0.0000 0.0000 0.0000
Pr -0.4404 0.0000 3.1847
Nd 2.5571 2.0065 1.3063
Nd 2.1167 4.4705 4.4910
Nd 5.6898 2.0065 1.8784
Nd 5.2494 4.4705 5.0632
Er 3.6831 1.1127 4.7771
Er 4.1235 5.3643 1.5924
Th -0.6606 2.9344 4.7771
Th -0.2202 3.5426 1.5924

no.,calculated density (Mg/m³),DFT total energy (eV/f.u.)
1,7.2,-78.87
2,6.2,-51.14
3,7.7,-62.85
4,5.7,-42.48
5,8.4,-39.76
6,7.5,-39.57
7,7.4,-48.62
8,7.4,-43.76
9,8.5,-27.12
10,8.7,-61.02
11,7.3,-44.17
12,7.7,-24.74